Record 1
A relaxed AcCeEuMg crystal, computed with PBE.

abc: 8.186 8.186 8.186
angles: 90.00 90.00 90.00
Space group F-43m (No. 216)
Unique sites:
1 Ac 0.000 0.000 0.000 (multiplicity 4)
2 Ce 0.250 0.250 0.750 (multiplicity 4)
3 Eu 0.000 0.000 0.500 (multiplicity 4)
4 Mg 0.250 0.250 0.250 (multiplicity 4)

- Total DFT energy (no corrections): -84.7 eV for the cell shown

---

Record 2
A relaxed AcCeEuPb crystal, computed with PBE.

abc: 8.162 8.162 8.162
angles: 90.00 90.00 90.00
Space group F-43m (No. 216)
Unique sites:
1 Ac 0.000 0.000 0.000 (multiplicity 4)
2 Ce 0.250 0.250 0.250 (multiplicity 4)
3 Eu 0.250 0.250 0.750 (multiplicity 4)
4 Pb 0.000 0.000 0.500 (multiplicity 4)

- Total DFT energy (no corrections): -96.7 eV for the cell shown

---

Record 3
A relaxed AcCeSmEu crystal, computed with PBE.

abc: 8.471 8.471 8.471
angles: 90.00 90.00 90.00
Space group F-43m (No. 216)
Unique sites:
1 Ac 0.000 0.000 0.000 (multiplicity 4)
2 Ce 0.250 0.250 0.250 (multiplicity 4)
3 Sm 0.000 0.000 0.500 (multiplicity 4)
4 Eu 0.250 0.250 0.750 (multiplicity 4)

- Total DFT energy (no corrections): -96.3 eV for the cell shown